A geometry-optimized Pa3FeCo8 structure, computed with PBE-GGA.

Cell and atoms, written as extended XYZ:
```
12
Lattice="-1.150 -1.235 4.578 -2.772 -3.925 0.845 5.323 -6.311 2.234" Properties=species:S:1:pos:R:3 pbc="T T T"
Pa -1.709 -4.067 3.673
Pa 5.121 -6.172 2.221
Pa 0.862 -5.848 3.839
Fe 2.668 -4.473 2.063
Co 3.496 -6.051 4.446
Co 0.080 -4.283 1.464
Co 2.100 -8.027 4.871
Co 1.460 -2.329 1.044
Co -0.168 -7.759 5.664
Co -0.882 -2.015 1.835
Co 2.679 -7.405 2.566
Co 0.887 -2.944 3.323
```

Calculated values
Its space-group type is R3m (160). For the formation energy, the calculation gives -0.25 eV per atom. The value obtained for the total magnetization is 4.66 μB per formula unit.